(1)
AlAsPt | SCAN | PBEsol geometry

a b c (Å): 4.2169 4.2169 4.2169
angles (deg): 60.00 60.00 60.00
With the nearest neighbours (Å) after each atom.
Atoms (fractional coordinates):
1 As 0.2500 0.2500 0.2500  4 Al 2.58, 4 Pt 2.58
2 Al 0.5000 0.5000 0.5000  4 As 2.58
3 Pt 0.0000 0.0000 0.0000  4 As 2.58

## Properties
The space group is F-43m. For the spin magnetization, the calculation gives 0.000 μB/cell. The value obtained for the uncorrected energy is -98.68 eV/cell.

***

(2)
AlAs2Pt | SCAN | PBEsol geometry

a b c (Å): 3.9271 3.9271 4.3347
angles (deg): 90.00 90.00 90.00
With the nearest neighbours (Å) after each atom.
Atoms (fractional coordinates):
1 As 0.0000 0.5000 0.0000  4 As 2.78, 4 Pt 2.92, 4 Al 2.92
2 As 0.5000 0.0000 0.0000  4 As 2.78, 4 Pt 2.92, 4 Al 2.92
3 Al 0.0000 0.0000 0.5000  4 Pt 2.78, 8 As 2.92
4 Pt 0.5000 0.5000 0.5000  4 Al 2.78, 8 As 2.92

## Properties
The space group is P4/mmm. For the spin magnetization, the calculation gives 0.000 μB/cell. The value obtained for the uncorrected energy is -118.25 eV/cell.

***

(3)
AlAs2Pt | SCAN | PBEsol geometry

a b c (Å): 3.0802 3.0815 7.0564
angles (deg): 90.00 90.00 90.00
With the nearest neighbours (Å) after each atom.
Atoms (fractional coordinates):
1 As 0.0000 0.0000 0.2656  4 Pt 2.74, 4 Al 2.87
2 As 0.0000 0.0000 0.7344  4 Pt 2.74, 4 Al 2.87
3 Al 0.5000 0.5000 0.0000  8 As 2.87, 4 Al 3.08
4 Pt 0.5000 0.5000 0.5000  8 As 2.74

## Properties
The space group is P4/mmm. For the spin magnetization, the calculation gives 0.000 μB/cell. The value obtained for the uncorrected energy is -118.00 eV/cell.

***

(4)
Ta2AlAsPt | SCAN | PBEsol geometry

a b c (Å): 4.3333 4.7477 4.7477
angles (deg): 90.00 90.00 90.00
With the nearest neighbours (Å) after each atom.
Atoms (fractional coordinates):
1 As 0.5000 0.5000 0.5000  8 Ta 3.21, 4 Pt 3.36
2 Al 0.0000 0.0000 0.0000  2 Pt 2.17, 4 Ta 2.37
3 Pt 0.5000 0.0000 0.0000  2 Al 2.17
4 Ta 0.0000 0.0000 0.5000  2 Al 2.37
5 Ta 0.0000 0.5000 0.0000  2 Al 2.37

## Properties
The space group is P4/mmm. For the spin magnetization, the calculation gives 0.002 μB/cell. The value obtained for the uncorrected energy is -225.92 eV/cell.

***

(5)
Rb3AlAs | SCAN | PBEsol geometry

a b c (Å): 6.5633 6.5633 6.5633
angles (deg): 90.00 90.00 90.00
With the nearest neighbours (Å) after each atom.
Atoms (fractional coordinates):
1 As 0.0000 0.0000 0.0000  6 Rb 3.28
2 Al 0.5000 0.5000 0.5000  12 Rb 4.64
3 Rb 0.0000 0.5000 0.0000  2 As 3.28
4 Rb 0.0000 0.0000 0.5000  2 As 3.28
5 Rb 0.5000 0.0000 0.0000  2 As 3.28

## Properties
The space group is Pm-3m. For the spin magnetization, the calculation gives 2.509 μB/cell. The value obtained for the uncorrected energy is -88.49 eV/cell.

***

(6)
AlRe2As | SCAN | PBEsol geometry

a b c (Å): 4.3002 4.3002 4.3002
angles (deg): 60.00 60.00 60.00
With the nearest neighbours (Å) after each atom.
Atoms (fractional coordinates):
1 Re 0.2500 0.2500 0.2500  4 As 2.63, 4 Al 2.63
2 Re 0.7500 0.7500 0.7500  4 Al 2.63, 4 As 2.63
3 As 0.5000 0.5000 0.5000  8 Re 2.63
4 Al 0.0000 0.0000 0.0000  8 Re 2.63

## Properties
For the excess energy over the best structure of this formula in the dataset, the calculation gives 0.000 eV/atom. The space group is Fm-3m. For the spin magnetization, the calculation gives 0.000 μB/cell.

***

Density across the listed records, respectively: 9.3; 9.2; 9.2; 11.2; 2.1; 14.0 Mg/m³.